# Pm3SnGe2, relaxed, DFT GGA-PBE
# Calculated total energy   -5.20 eV/atom
# ΔH_f (0 K)   -0.6195 eV/atom
# Spin magnetization   0.00 μB per formula unit
# Theoretical density   7.42 g cm⁻³
# SG   Cmmm (65)
# D(E_F)   3.790 states/eV/cell
data_Pm3SnGe2
_symmetry_space_group_name_H-M 'P 1'
_symmetry_Int_Tables_number 1
_symmetry_space_group_name_Hall 'P 1'
_cell_length_a 8.4078
_cell_length_b 8.4078
_cell_length_c 4.2628
_cell_angle_alpha 90.00
_cell_angle_beta 90.00
_cell_angle_gamma 148.73
loop_
_atom_site_label
_atom_site_fract_x
_atom_site_fract_y
_atom_site_fract_z
Pm1 0.0000 0.0000 0.0000
Pm2 0.1726 0.8274 0.5000
Pm3 0.8274 0.1726 0.5000
Sn1 0.5000 0.5000 0.5000
Ge1 0.3498 0.6502 0.0000
Ge2 0.6502 0.3498 0.0000